Pu4PdPt2Rh, optimized geometry, DFT PBE; formation energy = -0.59 eV per atom; D(E_F) = 34.67 states/eV/f.u.; crystal system = trigonal; volume = 170.2 Å³ per cell
1.0
-3.1587 -0.3917 3.7823
-4.6664 -1.4141 -0.8131
-0.4545 -8.2864 1.9927
Pu Pd Pt Rh
4 1 2 1
Cartesian
-3.3544 -7.8484 2.8467
-6.9973 -4.7592 3.3547
-1.2823 -5.3330 1.6072
-4.9253 -2.2438 2.1152
0.0000 0.0000 0.0000
-6.1928 -7.6294 3.7293
-2.0868 -2.4627 1.2326
-4.1398 -5.0461 2.4809